# 1
InNi6Sb | PBE-GGA | relaxed

Summary:
N(E_F) (states/eV per atom): 0.90
Total magnetization (μB/cell): 0.00
Excess energy over the best structure of this formula in the dataset (kJ per mole of atoms): 0.3

Structure (POSCAR):
```
InNi6Sb
1.0
-1.956 -5.129 3.415
-2.372 -0.381 -6.002
8.590 -5.312 -3.058
Ni Sb In
24 4 4
Direct
0.372 0.123 0.374
0.372 0.123 0.126
0.373 0.122 0.624
0.500 0.500 0.750
0.250 0.750 0.003
0.000 0.000 0.750
0.877 0.628 0.126
0.628 0.877 0.374
0.000 0.000 0.250
0.373 0.122 0.876
0.627 0.878 0.876
0.500 0.500 0.250
0.123 0.372 0.374
0.122 0.373 0.624
0.122 0.373 0.876
0.878 0.627 0.876
0.627 0.878 0.624
0.628 0.877 0.126
0.877 0.628 0.374
0.878 0.627 0.624
0.750 0.250 0.003
0.250 0.750 0.497
0.123 0.372 0.126
0.750 0.250 0.497
0.000 0.000 0.996
0.748 0.252 0.250
0.252 0.748 0.250
0.000 0.000 0.504
0.748 0.252 0.750
0.500 0.500 0.998
0.252 0.748 0.750
0.500 0.500 0.502
```


# 2
InNiSb | PBE-GGA | relaxed

Summary:
N(E_F) (states/eV per atom): 0.65
Total magnetization (μB/cell): 0.00

Structure (POSCAR):
```
InNiSb
1.0
6.642 0.012 -0.013
5.888 3.072 -0.022
0.754 0.191 3.054
Sb In Ni
1 1 1
Direct
0.705 0.705 0.295
0.968 0.968 0.032
0.327 0.327 0.673
```


# 3
InNiSb2 | PBE-GGA | relaxed

Summary:
N(E_F) (states/eV per atom): 0.31
Total magnetization (μB/cell): 0.00

Structure (POSCAR):
```
InNiSb2
1.0
3.143 0.184 0.000
-0.173 3.143 0.000
0.000 0.000 9.477
In Sb Ni
1 2 1
Direct
0.500 0.500 0.250
0.000 0.000 0.928
0.000 0.000 0.572
0.500 0.500 0.750
```


# 4
InNiSb2 | PBE-GGA | relaxed

Summary:
N(E_F) (states/eV per atom): 0.68
Total magnetization (μB/cell): 0.00

Structure (POSCAR):
```
InNiSb2
1.0
-1.549 -1.075 5.510
-0.920 -5.550 1.508
4.142 3.038 -2.745
Sb Ni In
2 1 1
Direct
0.000 0.000 0.000
0.250 0.750 0.500
0.750 0.250 0.500
0.500 0.500 0.000
```


# 5
InNiSb2 | PBE-GGA | relaxed

Summary:
N(E_F) (states/eV per atom): 0.41
Total magnetization (μB/cell): 0.00

Structure (POSCAR):
```
InNiSb2
1.0
5.179 0.000 0.017
4.096 3.169 0.017
2.183 0.746 5.735
Sb In Ni
2 1 1
Direct
0.726 0.726 0.726
0.915 0.915 0.029
0.566 0.566 0.369
0.293 0.293 0.376
```


# 6
InNiSb2 | PBE-GGA | relaxed

Summary:
N(E_F) (states/eV per atom): 0.46
Total magnetization (μB/cell): 0.00

Structure (POSCAR):
```
InNiSb2
1.0
4.633 0.000 0.000
0.000 4.430 0.000
0.000 0.000 4.430
Sb Ni In
2 1 1
Direct
0.000 0.000 0.000
0.000 0.500 0.500
0.500 0.000 0.500
0.500 0.500 0.000
```


# 7
InNiSb2 | PBE-GGA | relaxed

Summary:
N(E_F) (states/eV per atom): 0.43
Total magnetization (μB/cell): 0.00

Structure (POSCAR):
```
InNiSb2
1.0
-1.750 3.263 -1.519
-1.802 -0.174 -3.569
-7.337 -0.782 1.498
Ni Sb In
1 2 1
Direct
0.664 0.664 0.007
0.278 0.278 0.166
0.053 0.053 0.840
0.504 0.504 0.487
```


# 8
InNiSb3 | PBE-GGA | relaxed

Summary:
N(E_F) (states/eV per atom): 1.39
Total magnetization (μB/cell): 0.60
Excess energy over the best structure of this formula in the dataset (kJ per mole of atoms): 101.7

Structure (POSCAR):
```
InNiSb3
1.0
-5.312 1.177 1.062
0.549 -2.118 5.094
1.487 4.986 1.913
In Sb Ni
1 3 1
Direct
0.000 0.000 0.000
0.000 0.000 0.500
0.500 0.000 0.000
0.000 0.500 0.000
0.500 0.500 0.500
```


# 9
InNi12Sb3 | PBE-GGA | relaxed

Summary:
N(E_F) (states/eV per atom): 0.49
Total magnetization (μB/cell): 0.00

Structure (POSCAR):
```
InNi12Sb3
1.0
3.736 0.000 0.000
0.000 3.736 0.000
0.000 0.000 14.892
Ni In Sb
12 1 3
Direct
0.500 0.500 0.254
0.000 0.500 0.376
0.500 0.500 0.000
0.500 0.000 0.872
0.000 0.500 0.872
0.000 0.500 0.624
0.500 0.500 0.500
0.500 0.000 0.376
0.500 0.500 0.746
0.500 0.000 0.624
0.500 0.000 0.128
0.000 0.500 0.128
0.000 0.000 0.000
0.000 0.000 0.752
0.000 0.000 0.248
0.000 0.000 0.500
```


# 10
InNiSb2 | PBE-GGA | relaxed

Summary:
N(E_F) (states/eV per atom): 0.59
Total magnetization (μB/cell): 0.00

Structure (POSCAR):
```
InNiSb2
1.0
-3.284 -2.714 -2.550
4.401 -1.213 -1.953
0.351 -2.805 2.533
In Sb Ni
1 2 1
Direct
0.500 0.000 0.500
0.000 0.000 0.000
0.500 0.500 0.000
0.000 0.500 0.500
```


# 11
InNi6Sb | PBE-GGA | relaxed

Summary:
N(E_F) (states/eV per atom): 0.91
Total magnetization (μB/cell): 0.00
Excess energy over the best structure of this formula in the dataset (kJ per mole of atoms): 0.2

Structure (POSCAR):
```
InNi6Sb
1.0
4.256 0.000 0.000
0.000 5.306 -0.172
0.000 -2.503 4.682
Ni In Sb
6 1 1
Direct
0.500 0.910 0.571
0.500 0.429 0.090
0.500 0.911 0.089
0.000 0.591 0.409
0.000 0.067 0.409
0.000 0.591 0.933
0.500 0.416 0.584
0.000 0.083 0.917
```


# 12
InNi4Sb12 | PBE-GGA | relaxed

Summary:
N(E_F) (states/eV per atom): 0.54
Total magnetization (μB/cell): 0.00

Structure (POSCAR):
```
InNi4Sb12
1.0
7.601 0.000 -2.687
-3.801 6.583 -2.687
0.000 0.000 8.062
Sb In Ni
12 1 4
Direct
0.160 0.336 0.496
0.664 0.823 0.160
0.840 0.336 0.177
0.840 0.664 0.504
0.664 0.504 0.840
0.823 0.160 0.664
0.504 0.840 0.664
0.336 0.496 0.160
0.177 0.840 0.336
0.336 0.177 0.840
0.160 0.664 0.823
0.496 0.160 0.336
0.000 0.000 0.000
0.000 0.000 0.500
0.000 0.500 0.000
0.500 0.500 0.500
0.500 0.000 0.000
```


# 13
InNiSb2 | PBE-GGA | relaxed

Summary:
N(E_F) (states/eV per atom): 0.50
Total magnetization (μB/cell): 0.00

Structure (POSCAR):
```
InNiSb2
1.0
-2.773 -7.790 -3.421
-0.414 -8.872 -1.083
-3.679 -8.157 -0.067
In Ni Sb
1 1 2
Direct
0.517 0.517 0.517
0.253 0.253 0.253
0.752 0.752 0.752
0.978 0.978 0.978
```


# 14
InNiSb2 | PBE-GGA | relaxed

Summary:
N(E_F) (states/eV per atom): 0.56
Total magnetization (μB/cell): 0.00

Structure (POSCAR):
```
InNiSb2
1.0
-4.966 -0.312 -2.529
3.625 -2.326 -2.397
-1.307 -4.437 -0.337
In Sb Ni
1 2 1
Direct
0.000 0.500 0.500
0.000 0.000 0.000
0.500 0.000 0.500
0.500 0.500 0.000
```


# 15
InNiSb2 | PBE-GGA | relaxed

Summary:
N(E_F) (states/eV per atom): 0.47
Total magnetization (μB/cell): 0.00

Structure (POSCAR):
```
InNiSb2
1.0
5.051 0.000 0.000
2.526 4.375 0.000
2.526 1.458 4.124
Sb Ni In
2 1 1
Direct
0.250 0.250 0.250
0.000 0.000 0.000
0.750 0.750 0.750
0.500 0.500 0.500
```


# 16
InNiSb2 | PBE-GGA | relaxed

Summary:
N(E_F) (states/eV per atom): 0.59
Total magnetization (μB/cell): 0.00

Structure (POSCAR):
```
InNiSb2
1.0
-0.343 -2.373 2.152
-0.755 -2.045 -2.376
8.245 -2.004 -0.896
Sb Ni In
2 1 1
Direct
0.500 0.500 0.261
0.000 0.000 0.930
0.500 0.500 0.757
0.000 0.000 0.552
```


# 17
InNi2Sb | PBE-GGA | relaxed

Summary:
N(E_F) (states/eV per atom): 0.27
Total magnetization (μB/cell): 0.00

Structure (POSCAR):
```
InNi2Sb
1.0
-0.552 1.509 -3.185
-3.499 -0.619 0.313
-0.631 4.762 2.366
Ni Sb In
2 1 1
Direct
0.500 0.500 0.285
0.000 0.000 0.970
0.000 0.000 0.441
0.500 0.500 0.805
```


# 18
InNiSb2 | PBE-GGA | relaxed

Summary:
N(E_F) (states/eV per atom): 0.52
Total magnetization (μB/cell): 0.00

Structure (POSCAR):
```
InNiSb2
1.0
5.242 0.016 0.000
1.003 5.145 0.000
-3.122 -2.581 3.327
Sb In Ni
2 1 1
Direct
0.000 0.000 0.000
0.500 0.500 0.000
0.250 0.750 0.500
0.750 0.250 0.500
```


# 19
InNi2Sb | PBE-GGA | relaxed

Summary:
N(E_F) (states/eV per atom): 0.63
Total magnetization (μB/cell): 0.00

Structure (POSCAR):
```
InNi2Sb
1.0
-1.331 -0.857 4.030
-3.373 -2.206 -1.583
2.172 -8.463 1.244
Sb Ni In
2 4 2
Direct
0.750 0.250 0.500
0.000 0.000 0.000
0.875 0.916 0.750
0.375 0.334 0.750
0.084 0.625 0.250
0.666 0.125 0.250
0.250 0.750 0.500
0.500 0.500 0.000
```


# 20
InNiSb2 | PBE-GGA | relaxed

Summary:
N(E_F) (states/eV per atom): 0.67
Total magnetization (μB/cell): 0.00

Structure (POSCAR):
```
InNiSb2
1.0
-1.227 6.052 -3.404
-4.810 5.121 0.594
5.033 -4.197 2.602
Sb Ni In
2 1 1
Direct
0.924 0.924 0.000
0.242 0.742 0.500
0.767 0.267 0.500
0.567 0.567 0.000
```


Number 1: E_form (uncorrected) -0.120 eV per atom. Number 2: E_form (uncorrected) 0.003 eV per atom. Number 3: E_form (uncorrected) 0.023 eV per atom. Number 4: E_form (uncorrected) 0.353 eV per atom. Number 5: E_form (uncorrected) -0.017 eV per atom. Number 6: E_form (uncorrected) 0.355 eV per atom. Number 7: E_form (uncorrected) -0.082 eV per atom. Number 8: E_form (uncorrected) 1.314 eV per atom. Number 9: E_form (uncorrected) -0.137 eV per atom. Number 10: E_form (uncorrected) 0.332 eV per atom. Number 11: E_form (uncorrected) -0.120 eV per atom. Number 12: E_form (uncorrected) -0.129 eV per atom. Number 13: E_form (uncorrected) 0.083 eV per atom. Number 14: E_form (uncorrected) 0.294 eV per atom. Number 15: E_form (uncorrected) 0.396 eV per atom. Number 16: E_form (uncorrected) 0.093 eV per atom. Number 17: E_form (uncorrected) -0.019 eV per atom. Number 18: E_form (uncorrected) 0.326 eV per atom. Number 19: E_form (uncorrected) 0.199 eV per atom. Number 20: E_form (uncorrected) 0.058 eV per atom.